Computed, not measured: a geometry-optimized NaYHo structure at the PBE level of DFT.

Cell lengths 3.533, 6.119, 9.167 Å; angles 89.65, 89.00, 89.78 degrees
Space group P1 (No. 1)
Unique sites:
Na (0.000, 0.000, 0.000)
Na (0.499, 0.497, 0.003)
Y (0.508, 0.834, 0.350)
Y (0.993, 0.662, 0.654)
Ho (0.008, 0.332, 0.353)
Ho (0.493, 0.164, 0.650)

Properties
- Excess energy over the best structure of this formula in the dataset: 0.022 kcal/mol of atoms
- VASP energy: -0.1459 hartree per atom


Computed, not measured: a geometry-optimized CaPa2AuS8 structure at the PBE level of DFT.

Cell lengths 6.3786, 6.3786, 7.5002 Å; angles 90.00, 90.00, 120.00 degrees
Space group P-3m1 (No. 164)
Unique sites:
Ca (0.0000, 0.0000, 0.0000)
Pa (0.3333, 0.6667, 0.3967)
Au (0.0000, 0.0000, 0.5000)
S (0.1771, 0.3542, 0.6897)
S (0.3333, 0.6667, 0.0735)

Properties
- VASP energy: -0.2079 hartree per atom
- Energy relative to the elements, uncorrected: -883 meV/atom


Computed, not measured: a geometry-optimized Na5SbS4Br2 structure at the PBE level of DFT.

Cell lengths 8.439, 11.456, 6.997 Å; angles 90.00, 90.00, 90.00 degrees
Space group Amm2 (No. 38)
Unique sites:
Na (0.000, 0.000, 0.000)
Na (0.262, 0.191, 0.483)
Sb (0.500, 0.000, 0.014)
S (0.275, 0.000, 0.215)
S (0.500, 0.167, 0.812)
Br (0.000, 0.189, 0.745)

Properties
- VASP energy: -0.1311 hartree per atom
- Energy relative to the elements, uncorrected: -1021 meV/atom


Computed, not measured: a geometry-optimized Pm3Pr2ThAs6 structure at the PBE level of DFT.

Cell lengths 18.564, 4.266, 8.530 Å; angles 90.00, 103.17, 90.00 degrees
Space group C2/m (No. 12)
Unique sites:
Pm (0.000, 0.000, 0.000)
Pm (0.168, 0.500, 0.332)
Pr (0.167, 0.500, 0.835)
Th (0.000, 0.000, 0.500)
As (0.001, 0.500, 0.253)
As (0.165, 0.000, 0.580)
As (0.166, 0.000, 0.086)

Properties
- VASP energy: -0.2369 hartree per atom


Computed, not measured: a geometry-optimized Li2ZrSb structure at the PBE level of DFT.

Cell lengths 3.190, 4.831, 5.348 Å; angles 90.00, 97.97, 90.00 degrees
Space group P2/m (No. 10)
Unique sites:
Li (0.117, 0.000, 0.251)
Zr (0.500, 0.500, 0.000)
Sb (0.000, 0.500, 0.500)

Properties
- VASP energy: -0.1592 hartree per atom
- Energy relative to the elements, uncorrected: -208 meV/atom


Computed, not measured: a geometry-optimized KNdAgTe3 structure at the PBE level of DFT.

Cell lengths 4.421, 16.506, 11.568 Å; angles 90.00, 90.00, 90.00 degrees
Space group Cmcm (No. 63)
Unique sites:
K (0.000, 0.244, 0.250)
Nd (0.000, 0.000, 0.000)
Ag (0.000, 0.473, 0.750)
Te (0.000, 0.082, 0.750)
Te (0.000, 0.368, 0.560)

Properties
- VASP energy: -0.1446 hartree per atom
- Energy relative to the elements, uncorrected: -910 meV/atom


Computed, not measured: a geometry-optimized RbCdBr2Cl structure at the PBE level of DFT.

Cell lengths 8.785, 4.373, 8.990 Å; angles 90.00, 100.61, 90.00 degrees
Space group P2_1/m (No. 11)
Unique sites:
Rb (0.153, 0.250, 0.312)
Cd (0.324, 0.750, 0.858)
Br (0.132, 0.250, 0.905)
Br (0.450, 0.750, 0.165)
Cl (0.219, 0.750, 0.578)

Properties
- Excess energy over the best structure of this formula in the dataset: 0.000 kcal/mol of atoms
- VASP energy: -0.0992 hartree per atom
- Energy relative to the elements, uncorrected: -1285 meV/atom


Computed, not measured: a geometry-optimized KNbAg2Se4 structure at the PBE level of DFT.

Cell lengths 8.405, 19.434, 6.141 Å; angles 90.00, 90.00, 90.00 degrees
Space group Ama2 (No. 40)
Unique sites:
K (0.250, 0.185, 0.000)
Nb (0.250, 0.385, 0.296)
Ag (0.000, 0.000, 0.766)
Ag (0.250, 0.382, 0.795)
Se (0.007, 0.379, 0.071)
Se (0.250, 0.280, 0.510)
Se (0.250, 0.490, 0.531)

Properties
- Excess energy over the best structure of this formula in the dataset: 0.000 kcal/mol of atoms
- VASP energy: -0.1662 hartree per atom
- Energy relative to the elements, uncorrected: -670 meV/atom


> Number 1 is which compound?

NaYHo